# PBE ErTm8Al2, optimized geometry
data_ErTm8Al2
_chemical_formula_sum 'Er1 Tm8 Al2'
_space_group_name_H-M_alt 'P 1'
_space_group_IT_number 1
_cell_length_a 5.107
_cell_length_b 8.080
_cell_length_c 8.460
_cell_angle_alpha 112.80
_cell_angle_beta 107.57
_cell_angle_gamma 90.00
loop_
_space_group_symop_operation_xyz
'x,y,z'
loop_
_atom_site_label
_atom_site_type_symbol
_atom_site_fract_x
_atom_site_fract_y
_atom_site_fract_z
Er1 Er 0.500 0.000 0.000
Tm1 Tm 0.609 0.473 0.218
Tm2 Tm 0.312 0.049 0.623
Tm3 Tm 0.153 0.221 0.306
Tm4 Tm 0.056 0.734 0.113
Tm5 Tm 0.847 0.779 0.694
Tm6 Tm 0.688 0.951 0.377
Tm7 Tm 0.391 0.527 0.782
Tm8 Tm 0.944 0.266 0.887
Al1 Al 0.225 0.642 0.450
Al2 Al 0.775 0.358 0.550
# symmetry	No. 12
# energy relative to the lowest polymorph listed for this composition	0.000	eV/atom
# magnetization	0.003	μB per formula unit
# DFT formation energy	-0.111	eV/atom
# calculated volume	27.64	A^3/atom


# PBE Ga3RuN, optimized geometry
data_Ga3RuN
_chemical_formula_sum 'Ga3 Ru1 N1'
_space_group_name_H-M_alt 'P 1'
_space_group_IT_number 1
_cell_length_a 4.152
_cell_length_b 4.152
_cell_length_c 4.152
_cell_angle_alpha 90.00
_cell_angle_beta 90.00
_cell_angle_gamma 90.00
loop_
_space_group_symop_operation_xyz
'x,y,z'
loop_
_atom_site_label
_atom_site_type_symbol
_atom_site_fract_x
_atom_site_fract_y
_atom_site_fract_z
Ru1 Ru 0.500 0.500 0.500
Ga1 Ga 0.000 0.500 0.000
Ga2 Ga 0.000 0.000 0.500
Ga3 Ga 0.500 0.000 0.000
N1 N 0.000 0.000 0.000
# symmetry	No. 221
# energy relative to the lowest polymorph listed for this composition	0.000	eV/atom
# magnetization	0.000	μB per formula unit
# calculated volume	14.31	A^3/atom
# raw formation energy	0.513	eV per atom


# PBE TbHo5Tm2In, optimized geometry
data_TbHo5Tm2In
_chemical_formula_sum 'Tb2 Ho10 Tm4 In2'
_space_group_name_H-M_alt 'P 1'
_space_group_IT_number 1
_cell_length_a 5.318
_cell_length_b 10.328
_cell_length_c 10.431
_cell_angle_alpha 90.00
_cell_angle_beta 90.00
_cell_angle_gamma 104.92
loop_
_space_group_symop_operation_xyz
'x,y,z'
loop_
_atom_site_label
_atom_site_type_symbol
_atom_site_fract_x
_atom_site_fract_y
_atom_site_fract_z
Tb1 Tb 0.793 0.587 0.508
Tb2 Tb 0.207 0.413 0.008
Ho1 Ho 0.382 0.765 0.008
Ho2 Ho 0.711 0.422 0.808
Ho3 Ho 0.500 0.000 0.758
Ho4 Ho 0.290 0.579 0.708
Ho5 Ho 0.989 0.978 0.508
Ho6 Ho 0.618 0.235 0.508
Ho7 Ho 0.289 0.578 0.308
Ho8 Ho 0.500 0.000 0.258
Ho9 Ho 0.710 0.421 0.208
Ho10 Ho 0.011 0.022 0.008
Tm1 Tm 0.884 0.768 0.798
Tm2 Tm 0.116 0.232 0.719
Tm3 Tm 0.116 0.232 0.298
Tm4 Tm 0.884 0.768 0.219
In1 In 0.595 0.191 0.008
In2 In 0.405 0.809 0.508
# symmetry	No. 36
# magnetization	0.000	μB per formula unit
# DFT formation energy	0.001	eV/atom
# calculated volume	30.76	A^3/atom


# PBE AcTe3Pd3, optimized geometry
data_AcTe3Pd3
_chemical_formula_sum 'Ac2 Te6 Pd6'
_space_group_name_H-M_alt 'P 1'
_space_group_IT_number 1
_cell_length_a 7.349
_cell_length_b 7.349
_cell_length_c 7.349
_cell_angle_alpha 90.00
_cell_angle_beta 90.00
_cell_angle_gamma 90.00
loop_
_space_group_symop_operation_xyz
'x,y,z'
loop_
_atom_site_label
_atom_site_type_symbol
_atom_site_fract_x
_atom_site_fract_y
_atom_site_fract_z
Ac1 Ac 0.500 0.500 0.500
Ac2 Ac 0.000 0.000 0.000
Te1 Te 0.250 0.000 0.500
Te2 Te 0.000 0.500 0.250
Te3 Te 0.500 0.750 0.000
Te4 Te 0.750 0.000 0.500
Te5 Te 0.000 0.500 0.750
Te6 Te 0.500 0.250 0.000
Pd1 Pd 0.000 0.250 0.500
Pd2 Pd 0.000 0.750 0.500
Pd3 Pd 0.500 0.000 0.750
Pd4 Pd 0.750 0.500 0.000
Pd5 Pd 0.500 0.000 0.250
Pd6 Pd 0.250 0.500 0.000
# symmetry	No. 223
# magnetization	0.000	μB per formula unit
# calculated volume	28.35	A^3/atom
# raw formation energy	-0.481	eV per atom


# PBE TaCoBr2, optimized geometry
data_TaCoBr2
_chemical_formula_sum 'Ta1 Co1 Br2'
_space_group_name_H-M_alt 'P 1'
_space_group_IT_number 1
_cell_length_a 3.263
_cell_length_b 3.263
_cell_length_c 8.524
_cell_angle_alpha 90.00
_cell_angle_beta 90.00
_cell_angle_gamma 99.07
loop_
_space_group_symop_operation_xyz
'x,y,z'
loop_
_atom_site_label
_atom_site_type_symbol
_atom_site_fract_x
_atom_site_fract_y
_atom_site_fract_z
Br1 Br 0.000 0.000 0.916
Br2 Br 0.500 0.500 0.364
Co1 Co 0.000 0.000 0.540
Ta1 Ta 0.500 0.500 0.680
# symmetry	No. 35
# energy relative to the lowest polymorph listed for this composition	0.236	eV/atom
# magnetization	0.000	μB per formula unit
# calculated volume	22.41	A^3/atom
# raw formation energy	-0.039	eV per atom


# PBE Tm3MgZn8, optimized geometry
data_Tm3MgZn8
_chemical_formula_sum 'Tm3 Mg1 Zn8'
_space_group_name_H-M_alt 'P 1'
_space_group_IT_number 1
_cell_length_a 5.381
_cell_length_b 5.381
_cell_length_c 9.278
_cell_angle_alpha 73.14
_cell_angle_beta 73.14
_cell_angle_gamma 60.00
loop_
_space_group_symop_operation_xyz
'x,y,z'
loop_
_atom_site_label
_atom_site_type_symbol
_atom_site_fract_x
_atom_site_fract_y
_atom_site_fract_z
Tm1 Tm 0.377 0.377 0.870
Tm2 Tm 0.997 0.997 0.009
Tm3 Tm 0.502 0.502 0.495
Mg1 Mg 0.873 0.873 0.380
Zn1 Zn 0.936 0.439 0.187
Zn2 Zn 0.436 0.939 0.687
Zn3 Zn 0.439 0.439 0.187
Zn4 Zn 0.939 0.939 0.687
Zn5 Zn 0.187 0.187 0.438
Zn6 Zn 0.688 0.688 0.937
Zn7 Zn 0.439 0.936 0.187
Zn8 Zn 0.939 0.436 0.687
# symmetry	No. 160
# magnetization	0.000	μB per formula unit
# DFT formation energy	-0.292	eV/atom
# calculated volume	18.27	A^3/atom


# PBE Th3Bi2N2, optimized geometry
data_Th3Bi2N2
_chemical_formula_sum 'Th3 Bi2 N2'
_space_group_name_H-M_alt 'P 1'
_space_group_IT_number 1
_cell_length_a 4.199
_cell_length_b 6.796
_cell_length_c 7.304
_cell_angle_alpha 68.42
_cell_angle_beta 73.29
_cell_angle_gamma 72.00
loop_
_space_group_symop_operation_xyz
'x,y,z'
loop_
_atom_site_label
_atom_site_type_symbol
_atom_site_fract_x
_atom_site_fract_y
_atom_site_fract_z
Th1 Th 0.000 0.000 0.000
Th2 Th 0.804 0.618 0.775
Th3 Th 0.196 0.382 0.225
Bi1 Bi 0.572 0.214 0.641
Bi2 Bi 0.428 0.786 0.359
N1 N 0.796 0.332 0.075
N2 N 0.204 0.668 0.925
# symmetry	No. 12
# magnetization	0.000	μB per formula unit
# calculated volume	25.83	A^3/atom
# raw formation energy	-1.272	eV per atom


# PBE DyTh3Fe8, optimized geometry
data_DyTh3Fe8
_chemical_formula_sum 'Dy1 Th3 Fe8'
_space_group_name_H-M_alt 'P 1'
_space_group_IT_number 1
_cell_length_a 5.208
_cell_length_b 5.208
_cell_length_c 9.036
_cell_angle_alpha 73.25
_cell_angle_beta 73.25
_cell_angle_gamma 60.00
loop_
_space_group_symop_operation_xyz
'x,y,z'
loop_
_atom_site_label
_atom_site_type_symbol
_atom_site_fract_x
_atom_site_fract_y
_atom_site_fract_z
Dy1 Dy 0.875 0.875 0.375
Th1 Th 0.375 0.375 0.875
Th2 Th 0.999 0.999 0.004
Th3 Th 0.501 0.501 0.497
Fe1 Fe 0.936 0.437 0.190
Fe2 Fe 0.439 0.938 0.685
Fe3 Fe 0.437 0.437 0.190
Fe4 Fe 0.938 0.938 0.685
Fe5 Fe 0.188 0.188 0.437
Fe6 Fe 0.687 0.687 0.938
Fe7 Fe 0.437 0.936 0.190
Fe8 Fe 0.938 0.439 0.685
# symmetry	No. 160
# magnetization	13.510	μB per formula unit
# DFT formation energy	-0.060	eV/atom
# calculated volume	16.68	A^3/atom


# PBE HgAs3C, optimized geometry
data_HgAs3C
_chemical_formula_sum 'Hg1 As3 C1'
_space_group_name_H-M_alt 'P 1'
_space_group_IT_number 1
_cell_length_a 4.481
_cell_length_b 4.481
_cell_length_c 4.481
_cell_angle_alpha 90.00
_cell_angle_beta 90.00
_cell_angle_gamma 90.00
loop_
_space_group_symop_operation_xyz
'x,y,z'
loop_
_atom_site_label
_atom_site_type_symbol
_atom_site_fract_x
_atom_site_fract_y
_atom_site_fract_z
C1 C 0.000 0.000 0.000
As1 As 0.000 0.500 0.000
As2 As 0.000 0.000 0.500
As3 As 0.500 0.000 0.000
Hg1 Hg 0.500 0.500 0.500
# symmetry	No. 221
# energy relative to the lowest polymorph listed for this composition	0.000	eV/atom
# magnetization	0.000	μB per formula unit
# DFT formation energy	1.073	eV/atom
# calculated volume	18.00	A^3/atom


What is the magnetization in the first record? 0.003 μB per formula unit